Entry 1:
An optimized crystal structure of Sm5Ge2C. Source: the Alexandria database, functional PBE.

Cell lengths 6.8480, 6.8480, 13.2336 Å; angles 90.00, 90.00, 130.61 degrees
Fractional positions:
Sm 0.0555 0.9445 0.6250
Sm 0.0555 0.9445 0.8750
Sm 0.2993 0.7007 0.2500
Sm 0.3362 0.6638 0.6061
Sm 0.3362 0.6638 0.8939
Sm 0.6638 0.3362 0.1061
Sm 0.6638 0.3362 0.3939
Sm 0.7007 0.2993 0.7500
Sm 0.9445 0.0555 0.1250
Sm 0.9445 0.0555 0.3750
Ge 0.1745 0.8255 0.0665
Ge 0.1745 0.8255 0.4335
Ge 0.8255 0.1745 0.5665
Ge 0.8255 0.1745 0.9335
C 0.2026 0.7974 0.7500
C 0.7974 0.2026 0.2500

Values from the calculation:
Calculated formation energy ... -0.269 eV per atom

---

Entry 2:
An optimized crystal structure of Ba2NaZn. Source: the Alexandria database, functional PBE.

Cell lengths 6.1411, 6.1411, 4.3453 Å; angles 90.00, 90.00, 90.00 degrees
Fractional positions:
Ba 0.0000 0.5000 0.0000
Ba 0.5000 0.0000 0.0000
Na 0.0000 0.0000 0.5000
Zn 0.5000 0.5000 0.5000

Values from the calculation:
Calculated formation energy ... -0.025 eV per atom

---

Entry 3:
An optimized crystal structure of KZr2Ni. Source: the Alexandria database, functional PBE.

Cell lengths 9.0399, 9.0399, 9.0399 Å; angles 142.31, 142.31, 54.36 degrees
Fractional positions:
K 0.0000 0.0000 0.0000
K 0.7500 0.2500 0.5000
Zr 0.3739 0.6250 0.2489
Zr 0.3750 0.6239 0.7489
Zr 0.3761 0.1250 0.7511
Zr 0.8750 0.6261 0.2511
Ni 0.2500 0.7500 0.5000
Ni 0.5000 0.5000 0.0000

Values from the calculation:
Polymorph energy (0 for the lowest one) ... 853.1 meV/atom
Calculated formation energy ... 1.035 eV per atom

---

Entry 4:
An optimized crystal structure of Tl2PtPbBr. Source: the Alexandria database, functional PBE.

Cell lengths 5.4289, 5.4289, 5.4291 Å; angles 90.00, 90.00, 90.00 degrees
Fractional positions:
Tl 0.0000 0.5000 0.0000
Tl 0.5000 0.0000 0.0000
Pt 0.0000 0.0000 0.0000
Pb 0.0000 0.0000 0.5000
Br 0.5000 0.5000 0.5000

Values from the calculation:
Formation energy without anion corrections ... -281 meV per atom

---

Entry 5:
An optimized crystal structure of Fe2SiBi. Source: the Alexandria database, functional PBE.

Cell lengths 8.3612, 8.3612, 8.3612 Å; angles 150.22, 150.22, 42.62 degrees
Fractional positions:
Fe 0.3750 0.2188 0.3438
Fe 0.7812 0.1250 0.1562
Fe 0.8750 0.0312 0.6562
Fe 0.9688 0.6250 0.8438
Si 0.0000 0.0000 0.0000
Si 0.7500 0.2500 0.5000
Bi 0.2500 0.7500 0.5000
Bi 0.5000 0.5000 0.0000

Values from the calculation:
Polymorph energy (0 for the lowest one) ... 97.8 meV/atom
Formation energy without anion corrections ... 599 meV per atom

---

Entry 6:
An optimized crystal structure of Mg2InSF. Source: the Alexandria database, functional PBE.

Cell lengths 5.2119, 5.2119, 6.5549 Å; angles 90.00, 90.00, 90.00 degrees
Fractional positions:
Mg 0.0000 0.5000 0.0000
Mg 0.5000 0.0000 0.0000
In 0.0000 0.0000 0.5000
S 0.0000 0.0000 0.0000
F 0.5000 0.5000 0.5000

Values from the calculation:
Formation energy without anion corrections ... -361 meV per atom